# K2CrCdAs (PBE, optimized geometry)
# **DFT formation energy**: 0.770 eV per atom
# **Magnetic moment**: 6.27 Bohr magnetons per cell
# **N(E_F)**: 4.170 states/eV/cell
# **E**: -0.1989 Ry per atom
data_K2CrCdAs
_symmetry_space_group_name_H-M 'P 4/m m m'
_symmetry_Int_Tables_number 123
_symmetry_space_group_name_Hall '-P 4 2'
_cell_length_a 6.196
_cell_length_b 6.196
_cell_length_c 5.297
_cell_angle_alpha 90.00
_cell_angle_beta 90.00
_cell_angle_gamma 90.00
loop_
_atom_site_label
_atom_site_type_symbol
_atom_site_fract_x
_atom_site_fract_y
_atom_site_fract_z
K1 K 0.000 0.500 0.000
Cr1 Cr 0.000 0.000 0.000
Cd1 Cd 0.000 0.000 0.500
As1 As 0.500 0.500 0.500